Model P:
{"formula": "KZn2Ru", "functional": "GGA-PBE", "state": "relaxed", "crystal_system": "tetragonal", "magnetic_moment_mub_per_fu": 0.2, "dos_ef_per_ev_atom": 1.01, "lattice": [[3.4140, 0.0000, 0.0000], [0.0000, 3.4140, 0.0000], [0.0000, 0.0000, 7.7783]], "species": ["K", "Ru", "Zn", "Zn"], "frac_coords": [[0.0000, 0.0000, 0.5204], [0.5000, 0.5000, 0.8574], [0.0000, 0.0000, 0.9477], [0.5000, 0.5000, 0.1745]]}

---

Model Q:
{"formula": "KZn2Ru", "functional": "GGA-PBE", "state": "relaxed", "crystal_system": "orthorhombic", "magnetic_moment_mub_per_fu": 0.0, "dos_ef_per_ev_atom": 0.89, "lattice": [[6.2593, -0.0412, -0.0035], [2.9738, 5.5079, 0.0035], [-3.6297, -4.4000, 2.5779]], "species": ["K", "Ru", "Zn", "Zn"], "frac_coords": [[0.7500, 0.2500, 0.5000], [0.2500, 0.7500, 0.5000], [0.0565, 0.0565, 0.0000], [0.4435, 0.4435, 0.0000]]}

---

Model R:
{"formula": "KZn2Ru", "functional": "GGA-PBE", "state": "relaxed", "crystal_system": "tetragonal", "magnetic_moment_mub_per_fu": 0.7, "dos_ef_per_ev_atom": 0.41, "lattice": [[5.3579, -0.0007, 0.0000], [2.2488, 4.8632, 0.0000], [-3.8034, -2.4313, 2.8864]], "species": ["K", "Ru", "Zn", "Zn"], "frac_coords": [[0.5000, 0.5000, 0.0000], [0.7500, 0.2500, 0.5000], [0.0000, 0.0000, 0.0000], [0.2500, 0.7500, 0.5000]]}

---

Most stable to least stable, the ends of the list are model P and model R.

---

Model P:
{"formula": "KZn2Ru", "functional": "GGA-PBE", "state": "relaxed", "crystal_system": "monoclinic", "magnetic_moment_mub_per_fu": 0.1, "dos_ef_per_ev_atom": 0.50, "lattice": [[-1.5362, -0.5776, 2.2001], [5.5126, -1.7898, 3.3793], [3.4791, 2.8434, 3.1757]], "species": ["K", "Ru", "Zn", "Zn"], "frac_coords": [[0.5000, 0.5000, 0.5000], [0.0000, 0.0000, 0.5000], [0.0000, 0.0000, 0.0000], [0.5000, 0.5000, 0.0000]]}

---

Model Q:
{"formula": "KZn2Ru", "functional": "GGA-PBE", "state": "relaxed", "crystal_system": "orthorhombic", "magnetic_moment_mub_per_fu": 0.0, "dos_ef_per_ev_atom": 0.62, "lattice": [[2.6119, 0.0000, 0.0000], [0.0000, 5.6911, 0.0000], [0.0000, 0.0000, 5.2260]], "species": ["K", "Ru", "Zn", "Zn"], "frac_coords": [[0.5000, 0.0000, 0.5000], [0.0000, 0.5000, 0.5000], [0.0000, 0.0000, 0.0000], [0.5000, 0.5000, 0.0000]]}

---

Most stable to least stable, the ends of the list are model P and model Q.

---

Model P:
{"formula": "KZrRu2", "functional": "GGA-PBE", "state": "relaxed", "crystal_system": "monoclinic", "magnetic_moment_mub_per_fu": 0.0, "dos_ef_per_ev_atom": 0.83, "lattice": [[-2.5976, -3.1371, -1.4101], [0.3920, -1.4735, 2.5561], [-5.5781, 2.9370, 3.7416]], "species": ["K", "Ru", "Ru", "Zr"], "frac_coords": [[0.5000, 0.7500, 0.7500], [0.0000, 0.0121, 0.0936], [0.0000, 0.4879, 0.4064], [0.5000, 0.2500, 0.2500]]}

---

Model Q:
{"formula": "KZrRu2", "functional": "GGA-PBE", "state": "relaxed", "crystal_system": "trigonal", "magnetic_moment_mub_per_fu": 0.0, "dos_ef_per_ev_atom": 0.69, "lattice": [[-4.3549, -8.5495, -0.5260], [-1.3979, -9.4264, -1.2352], [-2.2867, -9.1598, 1.7905]], "species": ["K", "Ru", "Ru", "Zr"], "frac_coords": [[0.7500, 0.7500, 0.7500], [0.9858, 0.9858, 0.9858], [0.5142, 0.5142, 0.5142], [0.2500, 0.2500, 0.2500]]}

---

Model R:
{"formula": "KZrRu2", "functional": "GGA-PBE", "state": "relaxed", "crystal_system": "monoclinic", "magnetic_moment_mub_per_fu": 0.0, "dos_ef_per_ev_atom": 0.66, "lattice": [[4.5254, -0.0002, -0.0013], [3.4592, 2.9177, -0.0013], [0.7843, 0.2866, 7.2250]], "species": ["K", "Ru", "Ru", "Zr"], "frac_coords": [[0.2500, 0.2500, 0.2500], [0.0185, 0.0185, 0.9033], [0.4815, 0.4815, 0.5967], [0.7500, 0.7500, 0.7500]]}

---

Most stable to least stable, the ends of the list are model Q and model R.

---

Model P:
{"formula": "KZrRu2", "functional": "GGA-PBE", "state": "relaxed", "crystal_system": "monoclinic", "magnetic_moment_mub_per_fu": 0.0, "dos_ef_per_ev_atom": 1.15, "lattice": [[-3.5304, 1.6258, 1.7200], [-1.5001, -1.5539, 3.6607], [2.4648, 4.9580, 5.5449]], "species": ["K", "Ru", "Ru", "Zr"], "frac_coords": [[0.2733, 0.2733, 0.1846], [0.0560, 0.0560, 0.8306], [0.7230, 0.7230, 0.8313], [0.4477, 0.4477, 0.6535]]}

---

Model Q:
{"formula": "KZrRu2", "functional": "GGA-PBE", "state": "relaxed", "crystal_system": "tetragonal", "magnetic_moment_mub_per_fu": 0.0, "dos_ef_per_ev_atom": 1.45, "lattice": [[-1.1139, 2.1366, 4.3817], [3.5864, -2.6850, 2.2210], [7.1297, 6.2182, 1.6337]], "species": ["Ru", "Ru", "Ru", "Ru", "K", "K", "Zr", "Zr"], "frac_coords": [[0.8507, 0.1250, 0.2500], [0.8993, 0.6250, 0.2500], [0.3750, 0.1493, 0.7500], [0.8750, 0.1007, 0.7500], [0.5000, 0.5000, 0.0000], [0.2500, 0.7500, 0.5000], [0.0000, 0.0000, 0.0000], [0.7500, 0.2500, 0.5000]]}

---

Model R:
{"formula": "KZrRu2", "functional": "GGA-PBE", "state": "relaxed", "crystal_system": "tetragonal", "magnetic_moment_mub_per_fu": 0.3, "dos_ef_per_ev_atom": 1.23, "lattice": [[5.5185, 0.0128, 0.0000], [2.6193, 4.8573, 0.0000], [-4.0689, -2.4350, 2.8228]], "species": ["K", "Ru", "Ru", "Zr"], "frac_coords": [[0.7500, 0.2500, 0.5000], [0.0000, 0.0000, 0.0000], [0.2500, 0.7500, 0.5000], [0.5000, 0.5000, 0.0000]]}

---

Most stable to least stable, the ends of the list are model P and model Q.

---

Model P:
{"formula": "KZrRu2", "functional": "GGA-PBE", "state": "relaxed", "crystal_system": "monoclinic", "magnetic_moment_mub_per_fu": 0.2, "dos_ef_per_ev_atom": 1.01, "lattice": [[3.7761, 0.0000, 0.0000], [0.0000, 2.9335, 0.0271], [0.0000, 2.7574, 8.7450]], "species": ["K", "Ru", "Ru", "Zr"], "frac_coords": [[0.5000, 0.6917, 0.7948], [0.0000, 0.8993, 0.1008], [0.5000, 0.2962, 0.2084], [0.0000, 0.6129, 0.3960]]}

---

Model Q:
{"formula": "KZrRu2", "functional": "GGA-PBE", "state": "relaxed", "crystal_system": "tetragonal", "magnetic_moment_mub_per_fu": 0.0, "dos_ef_per_ev_atom": 1.43, "lattice": [[2.9181, 0.0000, 0.0000], [0.0000, 2.9181, 0.0000], [0.0000, 0.0000, 10.0406]], "species": ["K", "Ru", "Ru", "Zr"], "frac_coords": [[0.5000, 0.5000, 0.7895], [0.0000, 0.0000, 0.0636], [0.5000, 0.5000, 0.2196], [0.0000, 0.0000, 0.4273]]}

---

Model R:
{"formula": "KZrRu2", "functional": "GGA-PBE", "state": "relaxed", "crystal_system": "cubic", "magnetic_moment_mub_per_fu": 0.0, "dos_ef_per_ev_atom": 1.17, "lattice": [[0.0000, 3.3503, 3.3503], [3.3503, 0.0000, 3.3503], [3.3503, 3.3503, 0.0000]], "species": ["Ru", "Ru", "K", "Zr"], "frac_coords": [[0.2500, 0.2500, 0.2500], [0.7500, 0.7500, 0.7500], [0.0000, 0.0000, 0.0000], [0.5000, 0.5000, 0.5000]]}

---

Most stable to least stable, the ends of the list are model P and model R.

---

Model P:
{"formula": "KZrRu2", "functional": "GGA-PBE", "state": "relaxed", "crystal_system": "orthorhombic", "magnetic_moment_mub_per_fu": 0.5, "dos_ef_per_ev_atom": 0.97, "lattice": [[3.2013, 0.0000, 0.0000], [0.0000, 5.0179, 0.0000], [0.0000, 0.0000, 4.5925]], "species": ["K", "Ru", "Ru", "Zr"], "frac_coords": [[0.0000, 0.5000, 0.5000], [0.0000, 0.0000, 0.0000], [0.5000, 0.5000, 0.0000], [0.5000, 0.0000, 0.5000]]}

---

Model Q:
{"formula": "KZrRu2", "functional": "GGA-PBE", "state": "relaxed", "crystal_system": "orthorhombic", "magnetic_moment_mub_per_fu": 0.0, "dos_ef_per_ev_atom": 0.56, "lattice": [[5.5590, 0.0030, -0.0003], [2.1332, 5.1335, 0.0003], [-3.0333, -3.7854, 2.7152]], "species": ["K", "Ru", "Ru", "Zr"], "frac_coords": [[0.2500, 0.7500, 0.5000], [0.9777, 0.9777, 0.0000], [0.5223, 0.5223, 0.0000], [0.7500, 0.2500, 0.5000]]}

---

Model R:
{"formula": "KZrRu2", "functional": "GGA-PBE", "state": "relaxed", "crystal_system": "tetragonal", "magnetic_moment_mub_per_fu": 0.9, "dos_ef_per_ev_atom": 1.12, "lattice": [[3.2708, 0.0000, 0.0000], [0.0000, 3.2708, 0.0000], [0.0000, 0.0000, 8.1452]], "species": ["K", "Ru", "Ru", "Zr"], "frac_coords": [[0.5000, 0.5000, 0.7500], [0.0000, 0.0000, 0.0702], [0.0000, 0.0000, 0.4298], [0.5000, 0.5000, 0.2500]]}

---

Most stable to least stable, the ends of the list are model R and model P.

---

Model P:
{"formula": "KZrRu2", "functional": "GGA-PBE", "state": "relaxed", "crystal_system": "cubic", "magnetic_moment_mub_per_fu": 0.0, "dos_ef_per_ev_atom": 0.95, "lattice": [[-0.5874, 2.2416, -4.0895], [1.9645, -1.7019, -3.9164], [-2.6979, -1.8930, -3.3514]], "species": ["K", "Ru", "Ru", "Zr"], "frac_coords": [[0.5000, 0.5000, 0.5000], [0.0000, 0.0000, 0.0000], [0.2500, 0.2500, 0.2500], [0.7500, 0.7500, 0.7500]]}

---

Model Q:
{"formula": "KZrRu2", "functional": "GGA-PBE", "state": "relaxed", "crystal_system": "monoclinic", "magnetic_moment_mub_per_fu": 0.0, "dos_ef_per_ev_atom": 1.00, "lattice": [[-3.4102, 4.8772, 2.8986], [-1.9378, -5.2055, -0.3024], [0.2128, -0.4725, 2.6001]], "species": ["K", "Ru", "Ru", "Zr"], "frac_coords": [[0.5000, 0.5000, 0.0000], [0.0000, 0.0000, 0.0000], [0.5000, 0.0000, 0.5000], [0.0000, 0.5000, 0.5000]]}

---

Most stable to least stable, the ends of the list are model Q and model P.

---

Model P:
{"formula": "KS3", "functional": "GGA-PBE", "state": "relaxed", "crystal_system": "monoclinic", "magnetic_moment_mub_per_fu": 0.0, "dos_ef_per_ev_atom": 0.00, "lattice": [[12.2799, 0.0000, 0.0000], [0.0000, 6.5901, -0.0247], [0.0000, 3.6402, 12.1075]], "species": ["K", "K", "K", "K", "K", "K", "K", "K", "S", "S", "S", "S", "S", "S", "S", "S", "S", "S", "S", "S", "S", "S", "S", "S", "S", "S", "S", "S", "S", "S", "S", "S"], "frac_coords": [[0.6356, 0.2160, 0.9964], [0.8644, 0.2160, 0.4964], [0.3644, 0.7840, 0.0036], [0.1356, 0.7840, 0.5036], [0.6161, 0.7088, 0.5743], [0.8839, 0.7088, 0.0743], [0.3839, 0.2912, 0.4257], [0.1161, 0.2912, 0.9257], [0.3724, 0.2838, 0.0048], [0.1276, 0.2838, 0.5048], [0.6276, 0.7162, 0.9952], [0.8724, 0.7162, 0.4952], [0.4185, 0.4506, 0.8475], [0.0815, 0.4506, 0.3475], [0.5815, 0.5494, 0.1525], [0.9185, 0.5494, 0.6525], [0.3301, 0.3695, 0.7299], [0.1699, 0.3695, 0.2299], [0.6699, 0.6305, 0.2701], [0.8301, 0.6305, 0.7701], [0.3932, 0.0588, 0.7233], [0.1068, 0.0588, 0.2233], [0.6068, 0.9412, 0.2767], [0.8932, 0.9412, 0.7767], [0.5581, 0.0776, 0.7169], [0.9419, 0.0776, 0.2169], [0.4419, 0.9224, 0.2831], [0.0581, 0.9224, 0.7831], [0.6106, 0.2215, 0.5589], [0.8894, 0.2215, 0.0589], [0.3894, 0.7785, 0.4411], [0.1106, 0.7785, 0.9411]]}

---

Model Q:
{"formula": "KS3", "functional": "GGA-PBE", "state": "relaxed", "crystal_system": "orthorhombic", "magnetic_moment_mub_per_fu": 0.0, "dos_ef_per_ev_atom": 0.20, "lattice": [[-6.3148, 1.3703, -0.4475], [-5.7014, -4.4139, -3.2967], [-1.0444, -2.9377, 5.7422]], "species": ["K", "K", "S", "S", "S", "S", "S", "S"], "frac_coords": [[0.6165, 0.6918, 0.2500], [0.3834, 0.3082, 0.7500], [0.6266, 0.6867, 0.7500], [0.8452, 0.7874, 0.7500], [0.8451, 0.3674, 0.7500], [0.3734, 0.3133, 0.2500], [0.1548, 0.2126, 0.2500], [0.1549, 0.6326, 0.2500]]}

---

Most stable to least stable, the ends of the list are model P and model Q.